# Pm2Ga4AgRh3

An optimized crystal structure of Pm2Ga4AgRh3 (PBE, Alexandria).

```
Pm2Ga4AgRh3
1.0
-0.812 -4.204 -0.269
3.976 -0.855 1.364
-3.361 0.020 9.809
Pm Ga Ag Rh
2 4 1 3
Direct
0.500 0.000 0.247
0.000 0.500 0.753
0.500 0.500 0.000
0.000 0.000 0.000
0.500 0.000 0.636
0.000 0.500 0.364
0.500 0.500 0.500
0.000 0.000 0.500
0.500 0.000 0.873
0.000 0.500 0.127
```

Computed properties:
symmetry = P-4m2 (115)
calculated formation energy = -63.99 kJ per mole of atoms

=====

# Pm2GaAgS5

An optimized crystal structure of Pm2GaAgS5 (PBE, Alexandria).

```
Pm2GaAgS5
1.0
3.864 0.000 0.000
-1.932 8.839 0.000
0.000 0.000 11.290
Pm Ga Ag S
4 2 2 10
Direct
0.874 0.748 0.798
0.118 0.237 0.681
0.126 0.252 0.298
0.882 0.763 0.181
0.566 0.133 0.953
0.434 0.867 0.453
0.773 0.545 0.523
0.227 0.455 0.023
0.369 0.737 0.995
0.678 0.357 0.853
0.501 0.003 0.776
0.290 0.580 0.681
0.960 0.920 0.563
0.631 0.263 0.495
0.322 0.643 0.353
0.499 0.997 0.276
0.710 0.420 0.181
0.040 0.080 0.063
```

Computed properties:
symmetry = Cmc2_1 (36)
uncorrected formation energy = -1307 meV per atom

=====

# Pm3GaAg3S8

An optimized crystal structure of Pm3GaAg3S8 (PBE, Alexandria).

```
Pm3GaAg3S8
1.0
-7.037 -3.326 2.287
6.851 -4.292 0.448
-1.367 6.038 4.576
Pm Ga Ag S
3 1 3 8
Direct
0.500 0.000 0.500
0.500 0.500 0.500
0.000 0.500 0.500
0.000 0.000 0.500
0.000 0.000 0.000
0.000 0.500 0.000
0.500 0.500 0.000
0.251 0.502 0.257
0.749 0.498 0.743
0.773 0.546 0.266
0.227 0.454 0.734
0.772 0.990 0.265
0.228 0.010 0.735
0.218 0.990 0.265
0.782 0.010 0.735
```

Computed properties:
symmetry = C2/m (12)
uncorrected formation energy = -1025 meV per atom

=====

# PmSc2Ga2Ag2

An optimized crystal structure of PmSc2Ga2Ag2 (PBE, Alexandria).

```
PmSc2Ga2Ag2
1.0
4.577 0.000 0.000
2.289 3.964 0.000
2.289 1.321 8.339
Pm Sc Ga Ag
1 2 2 2
Direct
0.000 0.000 0.000
0.132 0.132 0.604
0.868 0.868 0.396
0.748 0.748 0.757
0.252 0.252 0.243
0.578 0.578 0.265
0.422 0.422 0.735
```

Computed properties:
symmetry = R-3m (166)
calculated formation energy = -36.65 kJ per mole of atoms

=====

# PmScGaAg

An optimized crystal structure of PmScGaAg (PBE, Alexandria).

```
PmScGaAg
1.0
5.048 0.000 0.000
2.524 4.371 0.000
2.524 1.457 4.121
Sc Ga Ag Pm
1 1 1 1
Direct
0.500 0.500 0.500
0.750 0.750 0.750
0.250 0.250 0.250
0.000 0.000 0.000
```

Computed properties:
symmetry = F-43m (216)
calculated formation energy = -39.79 kJ per mole of atoms

=====

# PmGaAg2Se4

An optimized crystal structure of PmGaAg2Se4 (PBE, Alexandria).

```
PmGaAg2Se4
1.0
8.138 0.001 -0.390
-0.005 8.138 -0.390
-4.281 -4.284 6.151
Pm Ga Ag Se
2 2 4 8
Direct
0.000 0.500 0.000
0.000 0.500 0.500
0.500 0.500 0.500
0.000 0.000 0.000
0.500 0.000 0.000
0.500 0.000 0.500
0.000 0.000 0.500
0.500 0.500 0.000
0.276 0.739 0.007
0.761 0.224 0.493
0.239 0.776 0.507
0.724 0.261 0.993
0.745 0.755 0.955
0.745 0.755 0.545
0.255 0.245 0.455
0.255 0.245 0.045
```

Computed properties:
symmetry = Imma (74)
uncorrected formation energy = -682 meV per atom

=====

# PmSmGaAg

An optimized crystal structure of PmSmGaAg (PBE, Alexandria).

```
PmSmGaAg
1.0
-0.772 -3.341 -3.954
-2.812 -4.348 0.759
-4.749 -0.454 -2.153
Ga Ag Sm Pm
1 1 1 1
Direct
0.750 0.750 0.750
0.250 0.250 0.250
0.500 0.500 0.500
0.000 0.000 0.000
```

Computed properties:
symmetry = F-43m (216)
calculated formation energy = -40.46 kJ per mole of atoms

=====

# Pm2SmGa2Ag2

An optimized crystal structure of Pm2SmGa2Ag2 (PBE, Alexandria).

```
Pm2SmGa2Ag2
1.0
-3.987 -1.354 2.001
-2.302 -3.699 -1.659
2.590 -7.134 5.763
Pm Sm Ga Ag
2 1 2 2
Direct
0.126 0.126 0.623
0.874 0.874 0.377
0.000 0.000 0.000
0.739 0.739 0.782
0.261 0.261 0.218
0.603 0.603 0.191
0.397 0.397 0.809
```

Computed properties:
symmetry = R-3m (166)
calculated formation energy = -36.37 kJ per mole of atoms

=====

What is the formula in the sixth record? PmGaAg2Se4